(1)
Al2FeW PBE-GGA optimized geometry; symmetry = F-43m (216); size of the total moment = 1.896 μB/f.u.; energy relative to the lowest polymorph listed for this composition = 187 meV/atom; ΔH_f (0 K) = 45.8 meV per atom; total DFT energy (no corrections) = -7.179 eV/atom; density of states at the Fermi level = 4.42 states/eV per cell
1.0
4.2912 0.0000 0.0000
2.1456 3.7163 0.0000
2.1456 1.2388 3.5037
Al W Fe
2 1 1
direct
0.0000 0.0000 0.0000 Al
0.2500 0.2500 0.2500 Al
0.7500 0.7500 0.7500 W
0.5000 0.5000 0.5000 Fe

=====

(2)
LaHg2SbTe PBE-GGA optimized geometry; symmetry = P4/mmm (123); size of the total moment = 0.000 μB/f.u.; formation energy (no corrections) = -2.5 kJ/mol of atoms; total DFT energy (no corrections) = -2.585 eV/atom; density of states at the Fermi level = 1.64 states/eV per cell
1.0
-1.7986 -4.9303 -1.3583
4.0321 -0.1330 -4.8564
3.7638 -2.2510 3.1867
La Sb Hg Te
1 1 2 1
direct
0.0000 0.5000 0.0000 La
0.5000 0.5000 0.5000 Sb
0.0000 0.0000 0.5000 Hg
0.5000 0.0000 0.0000 Hg
0.0000 0.0000 0.0000 Te

=====

(3)
Ba4Pu3HgO12 PBE-GGA optimized geometry; symmetry = Im-3m (229); size of the total moment = 10.000 μB/f.u.; formation energy (no corrections) = -253.5 kJ/mol of atoms; total DFT energy (no corrections) = -8.152 eV/atom; density of states at the Fermi level = 17.61 states/eV per cell
1.0
7.6318 0.0000 0.0000
-2.5439 7.1953 0.0000
-2.5439 -3.5977 6.2313
O Pu Ba Hg
12 3 4 1
direct
0.2500 0.5000 0.7500 O
0.7325 0.7325 0.0000 O
0.7325 0.0000 0.7325 O
0.0000 0.7325 0.7325 O
0.2675 0.2675 0.0000 O
0.5000 0.7500 0.2500 O
0.0000 0.2675 0.2675 O
0.2500 0.7500 0.5000 O
0.5000 0.2500 0.7500 O
0.2675 0.0000 0.2675 O
0.7500 0.5000 0.2500 O
0.7500 0.2500 0.5000 O
0.5000 0.5000 0.0000 Pu
0.0000 0.5000 0.5000 Pu
0.5000 0.0000 0.5000 Pu
0.5000 0.5000 0.5000 Ba
0.0000 0.0000 0.5000 Ba
0.5000 0.0000 0.0000 Ba
0.0000 0.5000 0.0000 Ba
0.0000 0.0000 0.0000 Hg

=====

(4)
Ta3BW PBE-GGA optimized geometry; symmetry = Pm-3m (221); size of the total moment = 0.000 μB/f.u.; energy relative to the lowest polymorph listed for this composition = 0 meV/atom; ΔH_f (0 K) = 153.6 meV per atom; total DFT energy (no corrections) = -10.884 eV/atom; density of states at the Fermi level = 4.83 states/eV per cell
1.0
4.3494 0.0000 0.0000
0.0000 4.3494 0.0000
0.0000 0.0000 4.3494
Ta W B
3 1 1
direct
0.0000 0.5000 0.0000 Ta
0.0000 0.0000 0.5000 Ta
0.5000 0.0000 0.0000 Ta
0.5000 0.5000 0.5000 W
0.0000 0.0000 0.0000 B

=====

(5)
CoSeCl2 PBE-GGA optimized geometry; symmetry = Cm (8); size of the total moment = 0.995 μB/f.u.; energy relative to the lowest polymorph listed for this composition = 23 meV/atom; formation energy (no corrections) = -21.5 kJ/mol of atoms; total DFT energy (no corrections) = -3.794 eV/atom; density of states at the Fermi level = 0.44 states/eV per cell
1.0
-6.1521 3.2179 -2.2317
-5.6109 0.8753 -4.5756
-4.4498 -2.4940 1.4652
Cl Se Co
2 1 1
direct
0.8604 0.8604 0.6002 Cl
0.0644 0.0644 0.9307 Cl
0.0957 0.0957 0.4611 Se
0.4795 0.4795 0.5081 Co

=====

(6)
LiPuSnN3 PBE-GGA optimized geometry; symmetry = P2_1/m (11); size of the total moment = 1.995 μB/f.u.; formation energy (no corrections) = -24.9 kJ/mol of atoms; total DFT energy (no corrections) = -7.796 eV/atom; density of states at the Fermi level = 14.90 states/eV per cell
1.0
3.2880 0.0000 0.0000
0.0000 8.4678 0.8442
0.0000 -0.9741 7.6348
N Li Sn Pu
6 2 2 2
direct
0.7500 0.5072 0.1372 N
0.2500 0.2070 0.9553 N
0.2500 0.9093 0.6299 N
0.7500 0.0907 0.3701 N
0.7500 0.7930 0.0447 N
0.2500 0.4928 0.8628 N
0.2500 0.0982 0.1851 Li
0.7500 0.9018 0.8149 Li
0.7500 0.8424 0.4551 Sn
0.2500 0.1576 0.5449 Sn
0.7500 0.3440 0.8984 Pu
0.2500 0.6560 0.1016 Pu

=====

no.,V (Å³/cell)
1,55.9
2,185.5
3,342.2
4,82.3
5,114.4
6,215.3